[1]
# DyHo4Mg4

A geometry-optimized DyHo4Mg4 structure (PBE-GGA, the Alexandria database).

The calculation puts the density of states at the Fermi level at 1.13 states/eV/atom. Its spin magnetization is 0.000 μB per formula unit. For the formation energy, the calculation gives 2.37 eV/f.u.

It has space group P4_2/nmc (No. 137, origin choice 2), with a = 6.903 Å, b = 6.903 Å, c = 11.421 Å, α = 90.00°, β = 90.00° and γ = 90.00°. The inequivalent atoms are Dy at (0.250, 0.750, 0.250), Ho at (0.027, 0.250, 0.181) and Mg at (0.024, 0.250, 0.472).


[2]
# Er6IrO12

A geometry-optimized Er6IrO12 structure (PBE-GGA, the Alexandria database).

Its spin magnetization is 3.000 μB per formula unit. For the formation energy without anion corrections, the calculation gives -3026 meV/atom.

It has space group R-3 (No. 148, hexagonal axes), with a = 9.7417 Å, b = 9.7417 Å, c = 9.2878 Å, α = 90.00°, β = 90.00° and γ = 120.00°. The inequivalent atoms are Er at (0.0413, 0.7872, 0.1431), Ir at (0.0000, 0.0000, 0.5000), O at (0.0321, 0.8094, 0.9001) and O at (0.0387, 0.8509, 0.3878).


[3]
# TbMg7Ag5

A geometry-optimized TbMg7Ag5 structure (PBE-GGA, the Alexandria database).

The calculation puts the density of states at the Fermi level at 0.57 states/eV/atom. Its spin magnetization is 0.000 μB per formula unit. For the formation energy, the calculation gives -2.36 eV/f.u.

It has space group Imm2 (No. 44), with a = 5.646 Å, b = 9.837 Å, c = 9.676 Å, α = 90.00°, β = 90.00° and γ = 90.00°. The inequivalent atoms are Tb at (0.000, 0.000, 0.000), Mg at (0.000, 0.000, 0.337), Mg at (0.000, 0.000, 0.652), Mg at (0.000, 0.297, 0.502), Mg at (0.000, 0.344, 0.987), Mg at (0.000, 0.500, 0.277), Ag at (0.000, 0.500, 0.711) and Ag at (0.248, 0.255, 0.247).


[4]
# CoRe2Si

A geometry-optimized CoRe2Si structure (PBE-GGA, the Alexandria database).

The calculation puts the density of states at the Fermi level at 0.81 states/eV/atom. Its spin magnetization is 0.003 μB per formula unit. For the formation energy without anion corrections, the calculation gives -129 meV/atom.

It has space group Cm (No. 8), with a = 9.019 Å, b = 2.769 Å, c = 4.427 Å, α = 90.00°, β = 110.26° and γ = 90.00°. The inequivalent atoms are Co at (0.000, 0.000, 0.000), Re at (0.036, 0.500, 0.515), Re at (0.251, 0.500, 0.164) and Si at (0.285, 0.000, 0.694).


[5]
# TbNd4Ag5

A geometry-optimized TbNd4Ag5 structure (PBE-GGA, the Alexandria database).

The calculation puts the density of states at the Fermi level at 0.71 states/eV/atom. Its spin magnetization is 0.000 μB per formula unit. For the formation energy, the calculation gives -2.69 eV/f.u.

It has space group P4/mmm (No. 123), with a = 3.701 Å, b = 3.701 Å, c = 19.027 Å, α = 90.00°, β = 90.00° and γ = 90.00°. The inequivalent atoms are Tb at (0.000, 0.000, 0.000), Nd at (0.000, 0.000, 0.196), Nd at (0.000, 0.000, 0.399), Ag at (0.500, 0.500, 0.092), Ag at (0.500, 0.500, 0.298) and Ag at (0.500, 0.500, 0.500).


[6]
# BPIrS2

A geometry-optimized BPIrS2 structure (PBE-GGA, the Alexandria database).

The calculation puts the density of states at the Fermi level at 1.33 states/eV/atom. Its spin magnetization is 0.000 μB per formula unit. For the formation energy without anion corrections, the calculation gives 1442 meV/atom. The energy above the most stable polymorph in this dataset comes out at 526.7 meV per atom.

It has space group P4/mmm (No. 123), with a = 4.838 Å, b = 4.838 Å, c = 4.398 Å, α = 90.00°, β = 90.00° and γ = 90.00°. The inequivalent atoms are B at (0.000, 0.000, 0.000), P at (0.500, 0.500, 0.000), Ir at (0.500, 0.500, 0.500) and S at (0.000, 0.500, 0.500).


[7]
# MgGaPd3

A geometry-optimized MgGaPd3 structure (PBE-GGA, the Alexandria database).

The calculation puts the density of states at the Fermi level at 0.33 states/eV/atom. Its spin magnetization is 0.000 μB per formula unit. The energy above the most stable polymorph in this dataset comes out at 48.5 meV per atom. For the formation energy, the calculation gives -2.93 eV/f.u.

It has space group P2_1/m (No. 11), with a = 4.310 Å, b = 5.540 Å, c = 6.883 Å, α = 90.00°, β = 97.48° and γ = 90.00°. The inequivalent atoms are Mg at (0.224, 0.250, 0.352), Ga at (0.165, 0.750, 0.070), Pd at (0.233, 0.750, 0.430) and Pd at (0.305, 0.007, 0.795).


[8]
# CaHg2Rh

A geometry-optimized CaHg2Rh structure (PBE-GGA, the Alexandria database).

The calculation puts the density of states at the Fermi level at 0.47 states/eV/atom. Its spin magnetization is 0.000 μB per formula unit. For the formation energy, the calculation gives -0.83 eV/f.u.

It has space group P2/m (No. 10), with a = 3.318 Å, b = 4.049 Å, c = 6.245 Å, α = 90.00°, β = 90.36° and γ = 90.00°. The inequivalent atoms are Ca at (0.000, 0.000, 0.000), Hg at (0.497, 0.500, 0.726) and Rh at (0.000, 0.000, 0.500).


Values of uncorrected energy, in order: -2.9908; -8.0646; -2.4933; -9.4854; -4.0648; -4.3990; -4.6256; -2.6975, all in eV per atom.